Here is a relaxed Mn4TlO8 crystal from Alexandria via LeMat-Bulk. Energies are from PBE with a Hubbard U.

a b c (Å): 10.3994 5.8410 8.4393
angles (deg): 90.00 126.20 90.00
Closest atoms and distances in Å follow each position.
Space group C2/m (No. 12)
Unique sites:
Mn: 0.0000 0.2490 0.0000 [4 per cell]  6 O 1.96-2.09
Mn: 0.2463 0.0000 0.9935 [4 per cell]  6 O 1.93-1.96
Tl: 0.0000 0.5000 0.5000 [2 per cell]  6 O 2.92-2.93
O: 0.0180 0.0000 0.8586 [4 per cell]  3 Mn 1.93-1.96
O: 0.0218 0.5000 0.8629 [4 per cell]  3 Mn 1.96
O: 0.2477 0.2464 0.1504 [8 per cell]  3 Mn 1.94-2.09

Properties
Size of the total moment, μB per cell: 26.00
Crystal system: monoclinic
E_tot, eV per atom: -6.868
Calculated volume, Å³ per atom: 15.9
DOS at the Fermi energy, states/eV per cell: 7.811

=====

Here is a relaxed MnTlO2 crystal from Alexandria via LeMat-Bulk. Energies are from PBE with a Hubbard U.

a b c (Å): 3.1512 3.1512 20.9435
angles (deg): 90.00 90.00 120.00
Closest atoms and distances in Å follow each position.
Space group R-3m (No. 166, hexagonal axes)
Unique sites:
Mn: 0.0000 0.0000 0.0000 [3 per cell]  6 O 2.07
Tl: 0.0000 0.0000 0.5000 [3 per cell]  2 O 2.51
O: 0.0000 0.0000 0.3803 [6 per cell]  3 Mn 2.07

Properties
Size of the total moment, μB per cell: 11.52
Crystal system: trigonal
ΔE to the lowest computed polymorph, kJ per mole of atoms: 13.1
Calculated volume, Å³ per atom: 15.0
DOS at the Fermi energy, states/eV per cell: 5.857

=====

Here is a relaxed MnTlO3 crystal from Alexandria via LeMat-Bulk. Energies are from PBE with a Hubbard U.

a b c (Å): 5.6037 3.5678 7.9016
angles (deg): 90.00 108.14 90.00
Closest atoms and distances in Å follow each position.
Space group P2_1/m (No. 11)
Unique sites:
Mn: 0.1251 0.2500 0.1476 [2 per cell]  5 O 1.93-2.10
Tl: 0.2880 0.2500 0.6036 [2 per cell]  6 O 2.30-2.42
O: 0.0655 0.7500 0.6621 [2 per cell]  1 Mn 2.10, 2 Tl 2.30
O: 0.1686 0.7500 0.0680 [2 per cell]  3 Mn 1.93-1.97
O: 0.4323 0.2500 0.3449 [2 per cell]  1 Mn 1.93

Properties
Size of the total moment, μB per cell: 7.98
Crystal system: monoclinic
E_tot, eV per atom: -6.016
Calculated volume, Å³ per atom: 15.0
DOS at the Fermi energy, states/eV per cell: 1.101

=====

Here is a relaxed MnTlO3 crystal from Alexandria via LeMat-Bulk. Energies are from PBE with a Hubbard U.

a b c (Å): 4.1463 4.1463 4.1463
angles (deg): 90.00 90.00 90.00
Closest atoms and distances in Å follow each position.
Space group Pm-3m (No. 221)
Unique sites:
Mn: 0.0000 0.0000 0.0000 [1 per cell]  12 O 2.93
Tl: 0.5000 0.5000 0.5000 [1 per cell]  6 O 2.07
O: 0.0000 0.5000 0.5000 [3 per cell]  2 Tl 2.07

Properties
Size of the total moment, μB per cell: 5.01
Crystal system: cubic
E_tot, eV per atom: -5.074
Calculated volume, Å³ per atom: 14.3
DOS at the Fermi energy, states/eV per cell: 0.961